Compound: Ba2SrTlIr
Source: Alexandria
Functional: GGA-PBE
Structure: relaxed

Properties
Uncorrected energy (eV/atom): -3.497
Symmetry: P4/mmm (123)

a b c (Å): 6.0872 6.0872 5.8419
angles (deg): 90.00 90.00 90.00
Last column: nearest neighbours and their distance in Å.
Atoms (fractional coordinates):
Sr (0.0000, 0.0000, 0.5000)  2 Ir 2.92
Ir (0.0000, 0.0000, 0.0000)  2 Sr 2.92, 4 Ba 3.04
Ba (0.5000, 0.0000, 0.0000)  2 Ir 3.04
Tl (0.5000, 0.5000, 0.5000)  8 Ba 4.22, 4 Sr 4.30
Ba (0.0000, 0.5000, 0.0000)  2 Ir 3.04